(1)
Compound: MgSeCl3
Source: the Alexandria database
Functional: PBE-GGA
Structure: optimized geometry

extended XYZ file:
```
5
Lattice="5.1757 0.0000 0.0000 0.0000 5.1757 0.0000 0.0000 0.0000 5.1757" Properties=species:S:1:pos:R:3 pbc="T T T"
Se 0.0000 0.0000 0.0000
Cl 0.0000 0.0000 2.5878
Cl 0.0000 2.5878 0.0000
Cl 2.5878 0.0000 0.0000
Mg 2.5878 2.5878 2.5878
```

Results
VASP energy = -11.39 eV for the cell shown
Volume = 27.73 Å³/atom


(2)
Compound: MgSe2Cl
Source: the Alexandria database
Functional: PBE-GGA
Structure: optimized geometry

extended XYZ file:
```
4
Lattice="-2.9290 -0.7094 3.0675 -0.0945 -5.0595 -1.2603 3.2070 -4.3141 2.0645" Properties=species:S:1:pos:R:3 pbc="T T T"
Cl -0.6864 -2.6981 1.7348
Mg 0.8699 -7.3849 2.1369
Se 2.8429 -8.8043 0.6784
Se 1.8258 -5.2560 0.5279
```

Results
VASP energy = -13.64 eV for the cell shown
Volume = 25.07 Å³/atom


(3)
Compound: MgSeCl2
Source: the Alexandria database
Functional: PBE-GGA
Structure: optimized geometry

extended XYZ file:
```
4
Lattice="0.0000 3.5245 3.5245 3.5245 0.0000 3.5245 3.5245 3.5245 0.0000" Properties=species:S:1:pos:R:3 pbc="T T T"
Se 3.5245 3.5245 3.5245
Mg 0.0000 0.0000 0.0000
Cl 1.7623 1.7623 1.7623
Cl 5.2868 5.2868 5.2868
```

Results
VASP energy = -9.66 eV for the cell shown
Volume = 21.89 Å³/atom


(4)
Compound: MgSeCl3
Source: the Alexandria database
Functional: PBE-GGA
Structure: optimized geometry

extended XYZ file:
```
5
Lattice="4.9958 0.0000 0.0000 0.0000 4.9958 0.0000 0.0000 0.0000 4.9958" Properties=species:S:1:pos:R:3 pbc="T T T"
Cl 0.0000 0.0000 2.4979
Cl 0.0000 2.4979 0.0000
Cl 2.4979 0.0000 0.0000
Se 2.4979 2.4979 2.4979
Mg 0.0000 0.0000 0.0000
```

Results
VASP energy = -13.93 eV for the cell shown
Volume = 24.94 Å³/atom


(5)
Compound: MgSe2Cl
Source: the Alexandria database
Functional: PBE-GGA
Structure: optimized geometry

extended XYZ file:
```
4
Lattice="-3.6581 -3.2640 -0.1677 -4.3198 1.2557 -1.9560 -1.3918 -1.9054 -4.3007" Properties=species:S:1:pos:R:3 pbc="T T T"
Mg 0.0000 0.0000 0.0000
Se -2.3424 -0.9784 -1.6061
Se -7.0273 -2.9353 -4.8183
Cl -4.6849 -1.9569 -3.2122
```

Results
VASP energy = -10.29 eV for the cell shown
Volume = 20.87 Å³/atom


(6)
Compound: MgSeCl2
Source: the Alexandria database
Functional: PBE-GGA
Structure: optimized geometry

extended XYZ file:
```
4
Lattice="3.0848 0.0000 0.0000 0.0000 3.0847 0.0000 0.0000 0.0000 11.4724" Properties=species:S:1:pos:R:3 pbc="T T T"
Cl 0.0000 0.0000 4.3819
Cl 0.0000 0.0000 1.3544
Se 1.5424 1.5424 8.6043
Mg 1.5424 1.5424 2.8681
```

Results
VASP energy = -12.02 eV for the cell shown
Volume = 27.29 Å³/atom


(7)
Compound: MgSeCl2
Source: the Alexandria database
Functional: PBE-GGA
Structure: optimized geometry

extended XYZ file:
```
4
Lattice="3.2967 0.0119 0.0000 -0.0075 3.2968 0.0000 0.0000 0.0000 8.2616" Properties=species:S:1:pos:R:3 pbc="T T T"
Cl 1.6446 1.6544 2.7656
Cl 0.0000 0.0000 7.7551
Mg 0.0000 0.0000 4.1252
Se 1.6446 1.6544 6.0082
```

Results
VASP energy = -10.80 eV for the cell shown
Volume = 22.45 Å³/atom


(8)
Compound: MgSeCl2
Source: the Alexandria database
Functional: PBE-GGA
Structure: optimized geometry

extended XYZ file:
```
4
Lattice="4.4690 0.0000 0.0000 0.0000 4.4690 0.0000 0.0000 0.0000 4.2299" Properties=species:S:1:pos:R:3 pbc="T T T"
Mg 2.2345 0.0000 2.1150
Cl 2.2345 2.2345 0.0000
Cl 0.0000 0.0000 0.0000
Se 0.0000 2.2345 2.1150
```

Results
VASP energy = -9.77 eV for the cell shown
Volume = 21.12 Å³/atom


no.,uncorrected formation energy (eV/atom),DOS at the Fermi energy (states/eV/atom)
1,-0.15,0.59
2,-0.81,0.40
3,-0.22,0.47
4,-0.66,0.00
5,0.03,1.24
6,-0.81,0.27
7,-0.51,0.58
8,-0.25,0.70